LuGa2Hg: relaxed, PBE.

Values from the calculation:
energy relative to the elements = -0.90 eV/f.u.
energy above the lowest structure with this stoichiometry = 0.154 eV/atom

a = 4.436 Å, b = 4.436 Å, c = 5.611 Å
α = 66.72°, β = 66.72°, γ = 60.00°
Fractional positions:
Hg (0.500, 0.500, 0.500)
Ga (0.234, 0.234, 0.298)
Ga (0.766, 0.766, 0.702)
Lu (0.000, 0.000, 0.000)



YH2OsSe: relaxed, PBE.

Values from the calculation:
VASP energy = -5.742 eV per atom

a = 3.824 Å, b = 4.907 Å, c = 3.824 Å
α = 90.00°, β = 90.00°, γ = 90.00°
Fractional positions:
Os (0.000, 0.000, 0.000)
H (0.500, 0.000, 0.000)
H (0.000, 0.000, 0.500)
Y (0.500, 0.500, 0.500)
Se (0.000, 0.500, 0.000)



PmPuTcIr: relaxed, PBE.

Values from the calculation:
energy relative to the elements = -0.57 eV/f.u.

a = 4.881 Å, b = 4.881 Å, c = 4.881 Å
α = 60.00°, β = 60.00°, γ = 60.00°
Fractional positions:
Ir (0.750, 0.750, 0.750)
Pm (0.500, 0.500, 0.500)
Pu (0.000, 0.000, 0.000)
Tc (0.250, 0.250, 0.250)



TmCu11Si: relaxed, PBE.

Values from the calculation:
uncorrected formation energy = -0.143 eV/atom

a = 4.782 Å, b = 6.430 Å, c = 6.425 Å
α = 82.47°, β = 68.15°, γ = 69.39°
Fractional positions:
Cu (0.348, 0.647, 0.646)
Cu (0.507, 0.221, 0.781)
Cu (0.500, 0.000, 0.500)
Cu (0.000, 0.000, 0.500)
Cu (0.000, 0.500, 0.000)
Cu (0.493, 0.779, 0.219)
Cu (0.288, 0.221, 0.219)
Cu (0.712, 0.779, 0.781)
Cu (0.652, 0.353, 0.354)
Cu (0.006, 0.353, 0.646)
Cu (0.994, 0.647, 0.354)
Tm (0.000, 0.000, 0.000)
Si (0.500, 0.500, 0.000)



Sr2ThNpN4: relaxed, PBE.

Values from the calculation:
uncorrected formation energy = -1.144 eV/atom

a = 3.654 Å, b = 6.314 Å, c = 6.369 Å
α = 109.08°, β = 90.00°, γ = 90.00°
Fractional positions:
Sr (0.500, 0.000, 0.500)
Sr (0.000, 0.500, 0.500)
N (0.000, 0.245, 0.801)
N (0.500, 0.223, 0.201)
N (0.000, 0.755, 0.199)
N (0.500, 0.777, 0.799)
Np (0.000, 0.000, 0.000)
Th (0.500, 0.500, 0.000)



Ho3Mg5Tl2: relaxed, PBE.

Values from the calculation:
energy relative to the elements = -0.21 eV/f.u.

a = 6.197 Å, b = 9.790 Å, c = 9.790 Å
α = 89.51°, β = 71.55°, γ = 71.55°
Fractional positions:
Mg (0.250, 0.500, 0.500)
Mg (0.892, 0.456, 0.759)
Mg (0.492, 0.258, 0.258)
Mg (0.750, 0.500, 0.500)
Mg (0.992, 0.258, 0.258)
Mg (0.608, 0.241, 0.544)
Mg (0.108, 0.544, 0.241)
Mg (0.508, 0.742, 0.742)
Mg (0.008, 0.742, 0.742)
Mg (0.392, 0.759, 0.456)
Ho (0.368, 0.363, 0.902)
Ho (0.750, 0.000, 0.000)
Ho (0.132, 0.098, 0.637)
Ho (0.868, 0.902, 0.363)
Ho (0.250, 0.000, 0.000)
Ho (0.632, 0.637, 0.098)
Tl (0.640, 0.012, 0.709)
Tl (0.860, 0.291, 0.988)
Tl (0.360, 0.988, 0.291)
Tl (0.140, 0.709, 0.012)



Number 1: V 85 Å³/f.u.. Number 2: V 72 Å³/f.u.. Number 3: V 82 Å³/f.u.. Number 4: V 172 Å³/f.u.. Number 5: V 139 Å³/f.u.. Number 6: V 266 Å³/f.u..